Record 1
VASP calculation (PBE) on KTlBr2 after structural relaxation.

a b c (Å): 9.9386 9.9386 9.9386
angles (deg): 28.99 28.99 28.99
Element x y z (fractional)
1 Tl 0.0000 0.0000 0.0000
2 K 0.5000 0.5000 0.5000
3 Br 0.8947 0.8947 0.8947
4 Br 0.1053 0.1053 0.1053

Calculated values
Total moment in μB per atom: 0.000
D(E_F) in states/eV/f.u.: 0.0
Energy relative to the elements, uncorrected in eV per atom: -1.0932

---

Record 2
VASP calculation (PBE) on K2TlBr after structural relaxation.

a b c (Å): 6.1164 6.1164 6.1164
angles (deg): 60.00 60.00 60.00
Element x y z (fractional)
1 K 0.7500 0.7500 0.7500
2 Tl 0.5000 0.5000 0.5000
3 Br 0.0000 0.0000 0.0000
4 K 0.2500 0.2500 0.2500

Calculated values
Total moment in μB per atom: 0.000
D(E_F) in states/eV/f.u.: 1.5
Energy relative to the elements, uncorrected in eV per atom: -0.5171

---

Which value of total moment does entry 1 give? 0.000 μB per atom